## BaGa12O19 (GGA-PBEsol)

Data for BaGa12O19 after structural relaxation.

Calculated values
For the uncorrected energy, the calculation gives -205.6 eV/f.u. As for the calculated volume: 10.56 Å³ per atom. Its formation energy without anion corrections is -63.59 eV/f.u.

Cell lengths 5.8246, 5.8246, 23.0009 Å; angles 90.00, 90.00, 120.00 degrees
Fractional coordinates of all 64 atoms:
Ga 0.8325 0.1675 0.3910
Ga 0.1688 0.3376 0.6082
Ga 0.6667 0.3333 0.5271
Ga 0.6624 0.8312 0.6082
Ga 0.6667 0.3333 0.9725
Ga 0.3333 0.6667 0.0271
Ga 0.3376 0.1688 0.1082
Ga 0.3350 0.1675 0.3910
Ga 0.1675 0.8325 0.8910
Ga 0.0000 0.0000 0.4997
Ga 0.6667 0.3333 0.6889
Ga 0.8325 0.6650 0.3910
Ga 0.8312 0.6624 0.1082
Ga 0.1688 0.8312 0.6082
Ga 0.1675 0.3350 0.8910
Ga 0.3333 0.6667 0.4725
Ga 0.8312 0.1688 0.1082
Ga 0.6650 0.8325 0.8910
Ga 0.0000 0.0000 0.9997
Ga 0.0000 0.0000 0.7420
Ga 0.0000 0.0000 0.2420
Ga 0.3333 0.6667 0.1889
Ga 0.3333 0.6667 0.3109
Ga 0.6667 0.3333 0.8109
O 0.1549 0.8451 0.0526
O 0.4971 0.9941 0.8511
O 0.0059 0.5029 0.8511
O 0.4967 0.9933 0.6485
O 0.8444 0.1556 0.9482
O 0.1826 0.3651 0.2491
O 0.1826 0.8174 0.2491
O 0.5029 0.0059 0.3511
O 0.3333 0.6667 0.9451
O 0.9941 0.4971 0.3511
O 0.3651 0.1826 0.7491
O 0.8444 0.6888 0.9482
O 0.6902 0.8451 0.0526
O 0.1556 0.3112 0.4482
O 0.6667 0.3333 0.4451
O 0.0000 0.0000 0.6503
O 0.0067 0.5033 0.6485
O 0.5033 0.4967 0.1485
O 0.6888 0.8444 0.4482
O 0.0000 0.0000 0.3517
O 0.8174 0.1826 0.7491
O 0.1549 0.3098 0.0526
O 0.6349 0.8174 0.2491
O 0.8451 0.1549 0.5526
O 0.6667 0.3333 0.0548
O 0.8174 0.6349 0.7491
O 0.0000 0.0000 0.8517
O 0.0000 0.0000 0.1503
O 0.3112 0.1556 0.9482
O 0.3098 0.1549 0.5526
O 0.5033 0.0067 0.1485
O 0.4967 0.5033 0.6485
O 0.8451 0.6902 0.5526
O 0.5029 0.4971 0.3511
O 0.1556 0.8444 0.4482
O 0.3333 0.6667 0.5548
O 0.4971 0.5029 0.8511
O 0.9933 0.4967 0.1485
Ba 0.3333 0.6667 0.7509
Ba 0.6667 0.3333 0.2509

=====

## Ba6Tb2Ga4O15 (GGA-PBEsol)

Data for Ba6Tb2Ga4O15 after structural relaxation.

Calculated values
For the uncorrected energy, the calculation gives -186.4 eV/f.u. As for the calculated volume: 16.19 Å³ per atom. Its formation energy without anion corrections is -71.35 eV/f.u.

Cell lengths 5.9660, 7.9509, 18.4310 Å; angles 91.21, 90.00, 90.00 degrees
Fractional coordinates of all 54 atoms:
O 0.6626 0.3086 0.6819
O 0.4453 0.7515 0.1624
O 0.8064 0.0000 0.7500
O 0.7680 0.9541 0.3909
O 0.2320 0.9541 0.8909
O 0.4856 0.2339 0.0032
O 0.0169 0.7674 0.0080
O 0.7568 0.5318 0.4093
O 0.1936 0.0000 0.2500
O 0.5547 0.7515 0.6624
O 0.5547 0.2485 0.8376
O 0.0169 0.2326 0.4920
O 0.2432 0.5318 0.9093
O 0.2432 0.4682 0.5907
O 0.4856 0.7661 0.4968
O 0.5144 0.7661 0.9968
O 0.9831 0.7674 0.5080
O 0.5144 0.2339 0.5032
O 0.7568 0.4682 0.0907
O 0.0478 0.7220 0.6924
O 0.9522 0.7220 0.1924
O 0.7680 0.0459 0.1091
O 0.6626 0.6914 0.8181
O 0.3374 0.6914 0.3181
O 0.0478 0.2780 0.8076
O 0.2320 0.0459 0.6091
O 0.3374 0.3086 0.1819
O 0.9831 0.2326 0.9920
O 0.4453 0.2485 0.3376
O 0.9522 0.2780 0.3076
Ba 0.7512 0.9742 0.9099
Ba 0.2460 0.4998 0.0779
Ba 0.2488 0.9742 0.4099
Ba 0.7540 0.5002 0.9221
Ba 0.7540 0.4998 0.5779
Ba 0.6671 0.5000 0.2500
Ba 0.2816 0.0000 0.7500
Ba 0.2460 0.5002 0.4221
Ba 0.7184 0.0000 0.2500
Ba 0.2488 0.0258 0.0901
Ba 0.3329 0.5000 0.7500
Ba 0.7512 0.0258 0.5901
Ga 0.2544 0.7547 0.9409
Ga 0.2241 0.2303 0.2659
Ga 0.2241 0.7697 0.2341
Ga 0.2544 0.2453 0.5591
Ga 0.7456 0.7547 0.4409
Ga 0.7456 0.2453 0.0591
Ga 0.7759 0.7697 0.7341
Ga 0.7759 0.2303 0.7659
Tb 0.7482 0.2465 0.4099
Tb 0.2518 0.7535 0.5901
Tb 0.7482 0.7535 0.0901
Tb 0.2518 0.2465 0.9099

=====

## Ba6Y2Ga4O15 (GGA-PBEsol)

Data for Ba6Y2Ga4O15 after structural relaxation.

Calculated values
For the uncorrected energy, the calculation gives -190.2 eV/f.u. As for the calculated volume: 16.10 Å³ per atom. Its formation energy without anion corrections is -71.53 eV/f.u.

Cell lengths 5.9538, 7.9395, 18.4018 Å; angles 91.27, 90.00, 90.00 degrees
Fractional coordinates of all 54 atoms:
Y 0.7482 0.2467 0.4101
Y 0.2518 0.2467 0.9101
Y 0.7482 0.7533 0.0899
Y 0.2518 0.7533 0.5899
Ga 0.2255 0.2305 0.2663
Ga 0.2543 0.2453 0.5587
Ga 0.2255 0.7695 0.2337
Ga 0.7457 0.2453 0.0587
Ga 0.7745 0.7695 0.7337
Ga 0.7745 0.2305 0.7663
Ga 0.2543 0.7547 0.9413
Ga 0.7457 0.7547 0.4413
Ba 0.2807 0.0000 0.7500
Ba 0.7193 0.0000 0.2500
Ba 0.6690 0.5000 0.2500
Ba 0.2460 0.5002 0.0779
Ba 0.7540 0.4998 0.9221
Ba 0.7509 0.9743 0.9101
Ba 0.7540 0.5002 0.5779
Ba 0.2460 0.4998 0.4221
Ba 0.2491 0.9743 0.4101
Ba 0.7509 0.0257 0.5899
Ba 0.3310 0.5000 0.7500
Ba 0.2491 0.0257 0.0899
O 0.3377 0.6907 0.3178
O 0.4488 0.7522 0.1624
O 0.7562 0.4686 0.0904
O 0.5146 0.7663 0.9974
O 0.4488 0.2478 0.3376
O 0.7562 0.5314 0.4096
O 0.9841 0.7672 0.5083
O 0.2438 0.5314 0.9096
O 0.9544 0.2783 0.3090
O 0.4854 0.7663 0.4974
O 0.0159 0.2328 0.4917
O 0.1929 0.0000 0.2500
O 0.3377 0.3093 0.1822
O 0.2323 0.9543 0.8913
O 0.5512 0.7522 0.6624
O 0.6623 0.3093 0.6822
O 0.7677 0.0457 0.1087
O 0.9544 0.7217 0.1910
O 0.9841 0.2328 0.9917
O 0.0456 0.7217 0.6910
O 0.4854 0.2337 0.0026
O 0.8071 0.0000 0.7500
O 0.7677 0.9543 0.3913
O 0.5146 0.2337 0.5026
O 0.2323 0.0457 0.6087
O 0.6623 0.6907 0.8178
O 0.5512 0.2478 0.8376
O 0.2438 0.4686 0.5904
O 0.0456 0.2783 0.8090
O 0.0159 0.7672 0.0083

=====

## BaYZn3GaO7 (GGA-PBEsol)

Data for BaYZn3GaO7 after structural relaxation.

Calculated values
For the uncorrected energy, the calculation gives -82.2 eV/f.u. As for the calculated volume: 13.72 Å³ per atom. Its formation energy without anion corrections is -28.44 eV/f.u.

Cell lengths 6.3239, 6.3239, 10.2979 Å; angles 90.00, 90.00, 120.00 degrees
Fractional coordinates of all 26 atoms:
Zn 0.8289 0.1711 0.1827
Zn 0.3422 0.1711 0.1827
Zn 0.1711 0.3422 0.6827
Zn 0.1711 0.8289 0.6827
Zn 0.8289 0.6578 0.1827
Zn 0.6578 0.8289 0.6827
O 0.1597 0.8403 0.4899
O 0.6806 0.8403 0.4899
O 0.1597 0.3194 0.4899
O 0.0000 0.0000 0.7504
O 0.3194 0.1597 0.9899
O 0.8403 0.1597 0.9899
O 0.0163 0.5082 0.2331
O 0.5082 0.0163 0.7331
O 0.4918 0.9837 0.2331
O 0.4918 0.5082 0.2331
O 0.5082 0.4918 0.7331
O 0.9837 0.4918 0.7331
O 0.8403 0.6806 0.9899
O 0.0000 0.0000 0.2504
Ba 0.3333 0.6667 0.0195
Ba 0.6667 0.3333 0.5195
Ga 0.0000 0.0000 0.9322
Ga 0.0000 0.0000 0.4322
Y 0.3333 0.6667 0.3678
Y 0.6667 0.3333 0.8678